*a*
{"formula": "Hg2Pb", "functional": "PBEsol", "state": "relaxed", "cell": [[3.329, 0.000, 0.000], [0.000, 5.099, 0.000], [0.000, -2.549, 4.416]], "species": ["Pb", "Hg", "Hg"], "frac_coords": [[0.000, 0.000, 0.000], [0.500, 0.667, 0.333], [0.500, 0.333, 0.667]], "sg": "P6/mmm, No. 191", "density_g_cm3": 13.48}

*b*
{"formula": "Hg2Pb", "functional": "PBEsol", "state": "relaxed", "cell": [[3.501, 0.000, 0.000], [-1.751, 5.849, -0.110], [0.000, -2.220, 7.415]], "species": ["Hg", "Hg", "Hg", "Hg", "Pb", "Pb"], "frac_coords": [[0.968, 0.935, 0.739], [0.651, 0.301, 0.039], [0.349, 0.699, 0.961], [0.032, 0.065, 0.261], [0.333, 0.667, 0.379], [0.667, 0.333, 0.621]], "sg": "C2/m, No. 12", "density_g_cm3": 13.38}

*a* is preferred energetically. Next in line: 5 meV per atom higher.

*a*
{"formula": "Hg2Pb", "functional": "PBEsol", "state": "relaxed", "cell": [[-1.865, -5.004, -0.297], [1.929, -1.000, 4.730], [-5.631, 2.106, -0.122]], "species": ["Hg", "Hg", "Hg", "Hg", "Pb", "Pb"], "frac_coords": [[0.750, 0.104, 0.649], [0.250, 0.896, 0.351], [0.750, 0.455, 0.351], [0.250, 0.545, 0.649], [0.750, 0.777, 0.000], [0.250, 0.223, 0.000]], "sg": "Cmcm, No. 63", "density_g_cm3": 13.39}

*b*
{"formula": "Hg2Pb", "functional": "PBEsol", "state": "relaxed", "cell": [[-0.329, -3.383, -0.888], [6.269, 1.198, 0.062], [-1.555, -1.674, 6.954]], "species": ["Hg", "Hg", "Hg", "Hg", "Pb", "Pb"], "frac_coords": [[0.017, 0.033, 0.058], [0.703, 0.406, 0.381], [0.360, 0.720, 0.719], [0.363, 0.725, 0.225], [0.032, 0.063, 0.544], [0.693, 0.386, 0.906]], "sg": "Cm, No. 8", "density_g_cm3": 13.23}

*a* is preferred energetically. Next in line: 8 meV per atom higher.

*a*
{"formula": "Hg2Pb", "functional": "PBEsol", "state": "relaxed", "cell": [[5.976, 0.000, 0.000], [2.988, 5.175, 0.000], [2.988, 1.725, 4.879]], "species": ["Hg", "Hg", "Hg", "Hg", "Pb", "Pb"], "frac_coords": [[0.125, 0.125, 0.125], [0.125, 0.125, 0.625], [0.125, 0.625, 0.125], [0.625, 0.125, 0.125], [0.500, 0.500, 0.500], [0.750, 0.750, 0.750]], "sg": "Fd-3m, No. 227", "density_g_cm3": 13.39}

*b*
{"formula": "Hg2Pb", "functional": "PBEsol", "state": "relaxed", "cell": [[-5.952, -0.181, 0.477], [2.498, -4.440, 3.120], [-1.677, 0.684, 5.692]], "species": ["Hg", "Hg", "Hg", "Hg", "Pb", "Pb"], "frac_coords": [[0.500, 0.150, 0.650], [0.500, 0.850, 0.350], [0.800, 0.650, 0.850], [0.200, 0.350, 0.150], [0.000, 0.750, 0.250], [0.000, 0.250, 0.750]], "sg": "I4/mcm, No. 140", "density_g_cm3": 12.33}

*c*
{"formula": "Hg2Pb", "functional": "PBEsol", "state": "relaxed", "cell": [[3.282, 0.000, 0.000], [0.000, 3.282, 0.000], [-1.641, -1.641, 14.393]], "species": ["Hg", "Hg", "Hg", "Hg", "Pb", "Pb"], "frac_coords": [[0.083, 0.083, 0.165], [0.167, 0.667, 0.335], [0.917, 0.917, 0.835], [0.333, 0.833, 0.665], [0.500, 0.500, 0.000], [0.750, 0.250, 0.500]], "sg": "I4_1/amd, No. 141", "density_g_cm3": 13.03}

*d*
{"formula": "Hg2Pb", "functional": "PBEsol", "state": "relaxed", "cell": [[-1.618, 3.695, 3.448], [-2.112, -4.867, 0.141], [4.438, -1.809, 4.021]], "species": ["Hg", "Hg", "Hg", "Hg", "Pb", "Pb"], "frac_coords": [[0.000, 0.000, 0.000], [0.000, 0.000, 0.500], [0.667, 0.333, 0.250], [0.333, 0.667, 0.750], [0.667, 0.333, 0.750], [0.333, 0.667, 0.250]], "sg": "P6_3/mmc, No. 194", "density_g_cm3": 13.24}

*c* is preferred energetically. Next in line: 5 meV per atom higher.

*a*
{"formula": "Re2HgPb", "functional": "PBEsol", "state": "relaxed", "cell": [[-1.033, -2.642, 0.402], [1.042, -1.092, -4.493], [5.241, 0.068, 3.699]], "species": ["Hg", "Pb", "Re", "Re"], "frac_coords": [[0.495, 0.495, 0.990], [0.288, 0.788, 0.575], [0.020, 0.020, 0.039], [0.698, 0.198, 0.396]], "sg": "Imm2, No. 44", "density_g_cm3": 16.48}

*b*
{"formula": "Re2HgPb", "functional": "PBEsol", "state": "relaxed", "cell": [[2.896, 0.000, 0.000], [0.000, 2.896, 0.000], [0.000, 0.000, 8.575]], "species": ["Hg", "Pb", "Re", "Re"], "frac_coords": [[0.500, 0.500, 0.000], [0.500, 0.500, 0.500], [0.000, 0.000, 0.758], [0.000, 0.000, 0.242]], "sg": "P4/mmm, No. 123", "density_g_cm3": 18.02}

*a* is preferred energetically. Next in line: 455 meV per atom higher.

*a*
{"formula": "HgRhPb", "functional": "PBEsol", "state": "relaxed", "cell": [[-2.712, 0.014, -1.844], [2.579, -1.819, -0.891], [-2.425, -5.167, 3.528]], "species": ["Hg", "Pb", "Rh"], "frac_coords": [[0.000, 0.000, 0.033], [0.333, 0.667, 0.631], [0.667, 0.333, 0.337]], "sg": "P3m1, No. 156", "density_g_cm3": 13.57}

*b*
{"formula": "HgRhPb", "functional": "PBEsol", "state": "relaxed", "cell": [[3.200, 0.000, 0.000], [0.000, 3.200, 0.000], [-1.600, -1.600, 6.012]], "species": ["Hg", "Pb", "Rh"], "frac_coords": [[0.975, 0.975, 0.949], [0.691, 0.691, 0.383], [0.334, 0.334, 0.668]], "sg": "I4mm, No. 107", "density_g_cm3": 13.77}

*c*
{"formula": "HgRhPb", "functional": "PBEsol", "state": "relaxed", "cell": [[4.530, 0.000, 0.000], [2.265, 3.923, 0.000], [2.265, 1.308, 3.699]], "species": ["Hg", "Pb", "Rh"], "frac_coords": [[0.000, 0.000, 0.000], [0.500, 0.500, 0.500], [0.750, 0.750, 0.750]], "sg": "F-43m, No. 216", "density_g_cm3": 12.90}

*c* is preferred energetically. Next in line: 16 meV per atom higher.

*a*
{"formula": "HgRu2Pb", "functional": "PBEsol", "state": "relaxed", "cell": [[-0.692, 3.709, -2.716], [-3.191, 3.173, 1.168], [1.331, 4.215, 1.439]], "species": ["Hg", "Pb", "Ru", "Ru"], "frac_coords": [[0.500, 0.500, 0.500], [0.250, 0.250, 0.250], [0.000, 0.000, 0.000], [0.750, 0.750, 0.750]], "sg": "F-43m, No. 216", "density_g_cm3": 14.25}

*b*
{"formula": "HgRu2Pb", "functional": "PBEsol", "state": "relaxed", "cell": [[-0.190, -2.515, -1.634], [5.011, 0.837, -1.405], [-1.025, -1.549, 5.035]], "species": ["Hg", "Pb", "Ru", "Ru"], "frac_coords": [[0.000, 0.500, 0.000], [0.500, 0.000, 0.000], [0.500, 0.500, 0.500], [0.000, 0.000, 0.500]], "sg": "C2/m, No. 12", "density_g_cm3": 14.32}

*b* is preferred energetically. Next in line: 105 meV per atom higher.

*a*
{"formula": "HgPb2Se", "functional": "PBEsol", "state": "relaxed", "cell": [[3.775, 0.000, 0.000], [0.000, 5.221, 0.000], [0.000, 0.000, 5.222]], "species": ["Hg", "Pb", "Pb", "Se"], "frac_coords": [[0.500, 0.000, 0.500], [0.000, 0.000, 0.000], [0.000, 0.500, 0.500], [0.500, 0.500, 0.000]], "sg": "P4/mmm, No. 123", "density_g_cm3": 11.19}

*b*
{"formula": "HgPb2Se", "functional": "PBEsol", "state": "relaxed", "cell": [[3.927, 0.000, 0.000], [0.000, 4.829, 0.054], [-1.963, -1.071, 5.698]], "species": ["Hg", "Pb", "Pb", "Se"], "frac_coords": [[0.744, 0.146, 0.487], [0.007, 0.089, 0.013], [0.252, 0.643, 0.505], [0.497, 0.622, 0.995]], "sg": "Cm, No. 8", "density_g_cm3": 10.64}

*b* is preferred energetically. Next in line: 31 meV per atom higher.

*a*
{"formula": "SiHgPb", "functional": "PBEsol", "state": "relaxed", "cell": [[-1.864, -3.103, 1.998], [4.089, -0.092, -0.607], [0.678, 2.310, 4.220]], "species": ["Hg", "Pb", "Si"], "frac_coords": [[0.000, 0.000, 0.070], [0.333, 0.667, 0.640], [0.667, 0.333, 0.290]], "sg": "P3m1, No. 156", "density_g_cm3": 10.06}

*b*
{"formula": "SiHgPb", "functional": "PBEsol", "state": "relaxed", "cell": [[3.374, 0.067, 0.000], [-0.202, 3.369, 0.000], [-1.586, -1.718, 5.997]], "species": ["Hg", "Pb", "Si"], "frac_coords": [[0.979, 0.979, 0.957], [0.676, 0.676, 0.352], [0.345, 0.345, 0.691]], "sg": "Fmm2, No. 42", "density_g_cm3": 10.60}

*a* is preferred energetically. Next in line: 48 meV per atom higher.

*a*
{"formula": "TlHgPb", "functional": "PBEsol", "state": "relaxed", "cell": [[3.338, -0.064, 0.000], [-1.278, 3.084, 0.000], [-1.030, -1.510, 7.964]], "species": ["Pb", "Tl", "Hg"], "frac_coords": [[0.661, 0.661, 0.322], [0.340, 0.340, 0.680], [0.999, 0.999, 0.998]], "sg": "Fmm2, No. 42", "density_g_cm3": 12.50}

*b*
{"formula": "TlHgPb", "functional": "PBEsol", "state": "relaxed", "cell": [[-2.241, -1.438, 2.086], [0.629, -4.603, -2.499], [3.064, 1.204, 4.122]], "species": ["Pb", "Tl", "Hg"], "frac_coords": [[0.743, 0.333, 0.667], [0.279, 0.667, 0.333], [0.978, 0.000, 0.000]], "sg": "P3m1, No. 156", "density_g_cm3": 12.47}

*b* is preferred energetically. Next in line: 12 meV per atom higher.

*a*
{"formula": "TlHgPb", "functional": "PBEsol", "state": "relaxed", "cell": [[3.463, 0.005, -0.090], [0.011, 4.726, -0.138], [-1.865, -2.514, 5.039]], "species": ["Pb", "Tl", "Hg"], "frac_coords": [[0.656, 0.660, 0.330], [0.344, 0.342, 0.670], [0.000, 0.998, 0.000]], "sg": "P1, No. 1", "density_g_cm3": 12.63}

*b*
{"formula": "TlHgPb", "functional": "PBEsol", "state": "relaxed", "cell": [[3.426, 0.182, -0.010], [0.182, 3.426, -0.010], [-1.829, -1.829, 6.871]], "species": ["Pb", "Tl", "Hg"], "frac_coords": [[0.658, 0.658, 0.317], [0.343, 0.343, 0.685], [0.000, 0.000, 0.998]], "sg": "Cm, No. 8", "density_g_cm3": 12.66}

*b* is preferred energetically. Next in line: 5 meV per atom higher.

*a*
{"formula": "HgPbW2", "functional": "PBEsol", "state": "relaxed", "cell": [[3.157, 0.000, 0.000], [0.000, 4.811, 0.000], [0.000, 0.000, 4.903]], "species": ["Hg", "Pb", "W", "W"], "frac_coords": [[0.500, 0.500, 0.000], [0.000, 0.500, 0.500], [0.000, 0.000, 0.000], [0.500, 0.000, 0.500]], "sg": "Pmmm, No. 47", "density_g_cm3": 17.29}

*b*
{"formula": "HgPbW2", "functional": "PBEsol", "state": "relaxed", "cell": [[3.298, 0.000, 0.000], [0.000, 4.840, 0.000], [-1.649, -2.420, 4.862]], "species": ["Hg", "Pb", "W", "W"], "frac_coords": [[0.486, 0.486, 0.973], [0.263, 0.763, 0.525], [0.029, 0.029, 0.057], [0.722, 0.222, 0.444]], "sg": "Imm2, No. 44", "density_g_cm3": 16.59}

*b* is preferred energetically. Next in line: 115 meV per atom higher.

*a*
{"formula": "HgPbW2", "functional": "PBEsol", "state": "relaxed", "cell": [[3.001, 0.000, 0.000], [1.500, 2.599, 0.000], [1.500, 0.866, 9.469]], "species": ["Hg", "Pb", "W", "W"], "frac_coords": [[0.500, 0.500, 0.500], [0.000, 0.000, 0.000], [0.249, 0.249, 0.254], [0.751, 0.751, 0.746]], "sg": "R-3m, No. 166", "density_g_cm3": 17.44}

*b*
{"formula": "HgPbW2", "functional": "PBEsol", "state": "relaxed", "cell": [[-0.575, 4.064, -2.230], [-4.255, 1.304, -1.418], [-2.186, 3.540, 2.123]], "species": ["Hg", "Pb", "W", "W"], "frac_coords": [[0.000, 0.000, 0.000], [0.500, 0.500, 0.500], [0.250, 0.250, 0.250], [0.750, 0.750, 0.750]], "sg": "Fm-3m, No. 225", "density_g_cm3": 17.87}

*a* is preferred energetically. Next in line: 183 meV per atom higher.